# 1
DFT (PBE) results for a relaxed structure of YHfTlAg.

Unit cell a=5.0935 b=5.0935 c=5.0935 alpha=60.00 beta=60.00 gamma=60.00
Last column: nearest neighbours and their distance in Å.
Fractional positions:
1 Y 0.0000 0.0000 0.0000  4 Ag 3.12, 4 Tl 3.12
2 Hf 0.5000 0.5000 0.5000  4 Tl 3.12, 4 Ag 3.12
3 Tl 0.7500 0.7500 0.7500  4 Hf 3.12, 4 Y 3.12
4 Ag 0.2500 0.2500 0.2500  4 Hf 3.12, 4 Y 3.12

VASP energy = -0.20085 hartree per atom
formation enthalpy at 0 K = -57 meV/atom
crystal system = cubic

---

# 2
DFT (PBE) results for a relaxed structure of K2AgSnAu2.

Unit cell a=8.5416 b=8.5416 c=8.5416 alpha=126.09 beta=75.60 gamma=131.27
Last column: nearest neighbours and their distance in Å.
Fractional positions:
1 K 0.1808 0.2024 0.3832  2 Au 3.34-3.45, 2 Ag 3.39
2 K 0.3192 0.7024 0.0216  2 Au 3.34-3.45, 2 Ag 3.39
3 K 0.6808 0.2976 0.9784  2 Au 3.34-3.45, 2 Ag 3.39
4 K 0.8192 0.7976 0.6168  2 Au 3.34-3.45, 2 Ag 3.39
5 Ag 0.2500 0.2500 0.0000  4 Au 2.82
6 Ag 0.7500 0.7500 0.0000  4 Au 2.82
7 Sn 0.2500 0.7500 0.5000  4 Au 2.78
8 Sn 0.7500 0.2500 0.5000  4 Au 2.78
9 Au 0.0729 0.7463 0.8192  2 Sn 2.78, 2 Ag 2.82
10 Au 0.4271 0.2463 0.6734  2 Sn 2.78, 2 Ag 2.82
11 Au 0.5729 0.7537 0.3266  2 Sn 2.78, 2 Ag 2.82
12 Au 0.9271 0.2537 0.1808  2 Sn 2.78, 2 Ag 2.82

VASP energy = -0.10281 hartree per atom
formation enthalpy at 0 K = -197 meV/atom
crystal system = orthorhombic

---

# 3
DFT (PBE) results for a relaxed structure of RbSnCl6.

Unit cell a=7.5815 b=7.5815 c=7.5815 alpha=54.63 beta=54.63 gamma=54.63
Last column: nearest neighbours and their distance in Å.
Fractional positions:
1 Rb 0.0000 0.0000 0.0000  12 Cl 3.91
2 Sn 0.5000 0.5000 0.5000  6 Cl 2.46
3 Cl 0.0948 0.5906 0.5906  1 Sn 2.46
4 Cl 0.4094 0.4094 0.9052  1 Sn 2.46
5 Cl 0.4094 0.9052 0.4094  1 Sn 2.46
6 Cl 0.5906 0.0948 0.5906  1 Sn 2.46
7 Cl 0.5906 0.5906 0.0948  1 Sn 2.46
8 Cl 0.9052 0.4094 0.4094  1 Sn 2.46

VASP energy = -0.10988 hartree per atom
energy above the lowest structure with this stoichiometry = 6.6 meV per atom
crystal system = trigonal

---

# 4
DFT (PBE) results for a relaxed structure of ZrSc2Tc.

Unit cell a=6.0420 b=6.0420 c=6.0420 alpha=116.46 beta=98.63 gamma=113.85
Last column: nearest neighbours and their distance in Å.
Fractional positions:
1 Zr 0.3385 0.0885 0.2500  1 Tc 2.45
2 Zr 0.6615 0.9115 0.7500  1 Tc 2.45
3 Sc 0.1967 0.0000 0.6967  4 Tc 2.93-3.19, 4 Zr 3.06-3.15, 3 Sc 3.10-3.18
4 Sc 0.1967 0.5000 0.1967  4 Tc 2.93-3.19, 4 Zr 3.06-3.15, 3 Sc 3.10-3.18
5 Sc 0.8033 0.0000 0.3033  4 Tc 2.93-3.19, 4 Zr 3.06-3.15, 3 Sc 3.10-3.18
6 Sc 0.8033 0.5000 0.8033  4 Tc 2.93-3.19, 4 Zr 3.06-3.15, 3 Sc 3.10-3.18
7 Tc 0.2897 0.5397 0.7500  1 Zr 2.45
8 Tc 0.7103 0.4603 0.2500  1 Zr 2.45

VASP energy = -0.29230 hartree per atom
formation enthalpy at 0 K = -60 meV/atom
energy above the lowest structure with this stoichiometry = 114.0 meV per atom
crystal system = orthorhombic

---

# 5
DFT (PBE) results for a relaxed structure of Dy4P6Rh7.

Unit cell a=7.0996 b=7.0996 c=7.0996 alpha=109.47 beta=109.47 gamma=109.47
Last column: nearest neighbours and their distance in Å.
Fractional positions:
1 Dy 0.0000 0.0000 0.5000  6 Rh 2.90, 6 P 2.96
2 Dy 0.0000 0.5000 0.0000  6 Rh 2.90, 6 P 2.96
3 Dy 0.5000 0.0000 0.0000  6 Rh 2.90, 6 P 2.96
4 Dy 0.5000 0.5000 0.5000  6 Rh 2.90, 6 P 2.96
5 P 0.0000 0.3241 0.3241  5 Rh 2.51-2.66
6 P 0.0000 0.6759 0.6759  5 Rh 2.51-2.66
7 P 0.3241 0.0000 0.3241  5 Rh 2.51-2.66
8 P 0.3241 0.3241 0.0000  5 Rh 2.51-2.66
9 P 0.6759 0.0000 0.6759  5 Rh 2.51-2.66
10 P 0.6759 0.6759 0.0000  5 Rh 2.51-2.66
11 Rh 0.0000 0.0000 0.0000  6 P 2.66
12 Rh 0.2500 0.5000 0.7500  4 P 2.51
13 Rh 0.2500 0.7500 0.5000  4 P 2.51
14 Rh 0.5000 0.2500 0.7500  4 P 2.51
15 Rh 0.5000 0.7500 0.2500  4 P 2.51
16 Rh 0.7500 0.2500 0.5000  4 P 2.51
17 Rh 0.7500 0.5000 0.2500  4 P 2.51

VASP energy = -0.26195 hartree per atom
formation enthalpy at 0 K = -1109 meV/atom
crystal system = cubic

---

# 6
DFT (PBE) results for a relaxed structure of Pu4UN5.

Unit cell a=6.0383 b=6.0383 c=6.0383 alpha=99.62 beta=99.62 gamma=131.73
Last column: nearest neighbours and their distance in Å.
Fractional positions:
1 Pu 0.0976 0.3013 0.3989  6 N 2.47-2.54
2 Pu 0.3013 0.9024 0.2037  6 N 2.47-2.54
3 Pu 0.6987 0.0976 0.7963  6 N 2.47-2.54
4 Pu 0.9024 0.6987 0.6011  6 N 2.47-2.54
5 U 0.5000 0.5000 0.0000  6 N 2.37-2.47
6 N 0.0000 0.0000 0.0000  4 Pu 2.47, 2 U 2.47
7 N 0.2115 0.5973 0.8088  1 U 2.37, 5 Pu 2.47-2.54
8 N 0.4027 0.2115 0.6142  1 U 2.37, 5 Pu 2.47-2.54
9 N 0.5973 0.7885 0.3858  1 U 2.37, 5 Pu 2.47-2.54
10 N 0.7885 0.4027 0.1912  1 U 2.37, 5 Pu 2.47-2.54

VASP energy = -0.45162 hartree per atom
crystal system = tetragonal

---

# 7
DFT (PBE) results for a relaxed structure of Pu2PaMn9.

Unit cell a=4.7845 b=4.7845 c=17.3476 alpha=90.00 beta=90.00 gamma=120.00
Last column: nearest neighbours and their distance in Å.
Fractional positions:
1 Pu 0.3333 0.6667 0.0355  9 Mn 2.83-2.89, 3 Pu 3.03
2 Pu 0.3333 0.6667 0.4645  9 Mn 2.83-2.89, 3 Pu 3.03
3 Pu 0.6667 0.3333 0.5355  9 Mn 2.83-2.89, 3 Pu 3.03
4 Pu 0.6667 0.3333 0.9645  9 Mn 2.83-2.89, 3 Pu 3.03
5 Pa 0.3333 0.6667 0.2500  6 Mn 2.76
6 Pa 0.6667 0.3333 0.7500  6 Mn 2.76
7 Mn 0.0000 0.0000 0.0000  6 Mn 2.63, 6 Pu 2.83
8 Mn 0.0000 0.0000 0.2500  9 Mn 2.51-2.76, 3 Pa 2.76
9 Mn 0.0000 0.0000 0.5000  6 Mn 2.63, 6 Pu 2.83
10 Mn 0.0000 0.0000 0.7500  9 Mn 2.51-2.76, 3 Pa 2.76
11 Mn 0.1667 0.3334 0.6290  7 Mn 2.39-2.63
12 Mn 0.1667 0.3334 0.8710  7 Mn 2.39-2.63
13 Mn 0.1667 0.8333 0.6290  7 Mn 2.39-2.63
14 Mn 0.1667 0.8333 0.8710  7 Mn 2.39-2.63
15 Mn 0.3334 0.1667 0.1290  7 Mn 2.39-2.63
16 Mn 0.3334 0.1667 0.3710  7 Mn 2.39-2.63
17 Mn 0.3333 0.6667 0.7500  9 Mn 2.51-2.76, 3 Pa 2.76
18 Mn 0.6667 0.3333 0.2500  9 Mn 2.51-2.76, 3 Pa 2.76
19 Mn 0.6666 0.8333 0.6290  7 Mn 2.39-2.63
20 Mn 0.6666 0.8333 0.8710  7 Mn 2.39-2.63
21 Mn 0.8333 0.1667 0.1290  7 Mn 2.39-2.63
22 Mn 0.8333 0.1667 0.3710  7 Mn 2.39-2.63
23 Mn 0.8333 0.6666 0.1290  7 Mn 2.39-2.63
24 Mn 0.8333 0.6666 0.3710  7 Mn 2.39-2.63

VASP energy = -0.36689 hartree per atom
formation enthalpy at 0 K = 73 meV/atom
crystal system = hexagonal

---

# 8
DFT (PBE) results for a relaxed structure of Li2MoAs.

Unit cell a=4.6307 b=4.6307 c=4.6307 alpha=131.31 beta=131.31 gamma=71.32
Last column: nearest neighbours and their distance in Å.
Fractional positions:
1 Li 0.0000 0.0000 0.0000  4 As 2.68, 4 Li 2.68, 4 Mo 2.70
2 Li 0.7500 0.2500 0.5000  4 Mo 2.68, 4 Li 2.68, 4 As 2.70
3 Mo 0.5000 0.5000 0.0000  4 As 2.68, 8 Li 2.68-2.70
4 As 0.2500 0.7500 0.5000  4 Mo 2.68, 8 Li 2.68-2.70

VASP energy = -0.17813 hartree per atom
formation enthalpy at 0 K = -20 meV/atom
crystal system = tetragonal

---

Among the records above, which one has the lowest VASP energy? Pu4UN5

---

Which of these has the highest VASP energy? K2AgSnAu2

---

The highest VASP energy belongs to which entry? K2AgSnAu2

---

Which of these has the lowest VASP energy? Pu4UN5